[1]
Pa2Co3B: relaxed, PBE.

## Properties
- mass density (g cm⁻³) = 13.086
- symmetry = No. 166
- magnetization (μB/cell) = 0.000
- formation enthalpy at 0 K (meV/atom) = -291
- energy above the most stable polymorph in this dataset (meV/atom) = 49.3
- calculated total energy (eV/atom) = -8.1224

a = 4.7284 Å, b = 4.7284 Å, c = 4.7284 Å
α = 64.70°, β = 64.70°, γ = 64.70°
Last column: nearest neighbours and their distance in Å.
Element x y z (fractional)
Pa1 0.1266 0.1266 0.1266  9 Co 2.73-2.90, 4 Pa 2.83-3.05, 3 B 2.96
Pa2 0.8734 0.8734 0.8734  9 Co 2.73-2.90, 4 Pa 2.83-3.05, 3 B 2.96
Co1 0.0000 0.5000 0.5000  2 B 2.36, 4 Co 2.53
Co2 0.5000 0.0000 0.5000  2 B 2.36, 4 Co 2.53
Co3 0.5000 0.5000 0.0000  2 B 2.36, 4 Co 2.53
B1 0.5000 0.5000 0.5000  6 Co 2.36

[2]
PaCo2B2: relaxed, PBE.

## Properties
- mass density (g cm⁻³) = 10.628
- symmetry = No. 11
- magnetization (μB/cell) = 0.000
- formation enthalpy at 0 K (meV/atom) = -484
- calculated total energy (eV/atom) = -7.8968

a = 3.7577 Å, b = 3.5149 Å, c = 8.7725 Å
α = 90.00°, β = 92.25°, γ = 90.00°
Last column: nearest neighbours and their distance in Å.
Element x y z (fractional)
Pa1 0.2402 0.2500 0.2503  7 B 2.65-2.83, 6 Co 2.77-2.92
Pa2 0.7598 0.7500 0.7497  7 B 2.65-2.83, 6 Co 2.77-2.92
Co1 0.2491 0.7500 0.4995  4 B 2.07-2.18
Co2 0.3414 0.2500 0.9080  4 B 2.02-2.10
Co3 0.6586 0.7500 0.0920  4 B 2.02-2.10
Co4 0.7509 0.2500 0.5005  4 B 2.07-2.18
B1 0.1502 0.7500 0.0076  4 Co 2.02-2.10, 2 B 2.09
B2 0.2619 0.2500 0.6252  4 Co 2.07-2.18
B3 0.7381 0.7500 0.3748  4 Co 2.07-2.18
B4 0.8498 0.2500 0.9924  4 Co 2.02-2.10, 2 B 2.09

[3]
PaCo6B4: relaxed, PBE.

## Properties
- mass density (g cm⁻³) = 9.769
- symmetry = No. 187
- magnetization (μB/cell) = 0.000
- formation enthalpy at 0 K (meV/atom) = -386
- calculated total energy (eV/atom) = -7.5532

a = 6.0601 Å, b = 6.0601 Å, c = 3.3555 Å
α = 90.00°, β = 90.00°, γ = 120.00°
Last column: nearest neighbours and their distance in Å.
Element x y z (fractional)
Pa1 0.0000 0.0000 0.0000  6 Co 2.68, 6 B 2.85
Co1 0.1989 0.3977 0.5000  4 B 2.19-2.20, 2 Co 2.44
Co2 0.1989 0.8011 0.5000  4 B 2.19-2.20, 2 Co 2.44
Co3 0.5322 0.0644 0.0000  5 B 2.09-2.13
Co4 0.5322 0.4678 0.0000  5 B 2.09-2.13
Co5 0.6023 0.8011 0.5000  4 B 2.19-2.20, 2 Co 2.44
Co6 0.9356 0.4678 0.0000  5 B 2.09-2.13
B1 0.3333 0.6667 0.0000  9 Co 2.09-2.19
B2 0.4389 0.2194 0.5000  2 B 2.07, 6 Co 2.13-2.20
B3 0.7806 0.2194 0.5000  2 B 2.07, 6 Co 2.13-2.20
B4 0.7806 0.5611 0.5000  2 B 2.07, 6 Co 2.13-2.20

Fermi-level density of states readings, ordered: 0.760 0.821 0.614 states/eV per atom